The following is a GGA-PBE calculation of an optimized crystal structure of Sr2ScPb, from Alexandria via LeMat-Bulk.

Lattice parameters (Å, degrees): 4.125 5.771 12.188 90.00 90.00 90.00
Space group Imm2 (No. 44)
Inequivalent atoms, fractional coordinates:
1 Sr 0.000 0.000 0.000 [2 per cell]
2 Sr 0.000 0.500 0.207 [2 per cell]
3 Sc 0.000 0.000 0.417 [2 per cell]
4 Pb 0.000 0.500 0.738 [2 per cell]

## Properties
- energy of formation (kJ per mole of atoms) = -14.0

The following is a GGA-PBE calculation of an optimized crystal structure of Pr12Ho5Mg2, from Alexandria via LeMat-Bulk.

Lattice parameters (Å, degrees): 15.902 9.298 8.683 90.00 92.70 90.00
Space group C2/m (No. 12)
Inequivalent atoms, fractional coordinates:
1 Pr 0.061 0.000 0.339 [4 per cell]
2 Pr 0.080 0.500 0.881 [4 per cell]
3 Pr 0.127 0.195 0.681 [8 per cell]
4 Pr 0.149 0.315 0.235 [8 per cell]
5 Ho 0.000 0.500 0.500 [2 per cell]
6 Ho 0.202 0.000 0.028 [4 per cell]
7 Ho 0.231 0.500 0.572 [4 per cell]
8 Mg 0.000 0.163 0.000 [4 per cell]

## Properties
- energy of formation (kJ per mole of atoms) = 8.3

The following is a GGA-PBE calculation of an optimized crystal structure of Li7Mg2Cd, from Alexandria via LeMat-Bulk.

Lattice parameters (Å, degrees): 9.805 9.805 9.805 90.00 90.00 90.00
Space group Fm-3m (No. 225)
Inequivalent atoms, fractional coordinates:
1 Li 0.000 0.000 0.000 [4 per cell]
2 Li 0.000 0.000 0.244 [24 per cell]
3 Mg 0.250 0.250 0.250 [8 per cell]
4 Cd 0.000 0.000 0.500 [4 per cell]

## Properties
- energy of formation (kJ per mole of atoms) = 22.7

The following is a GGA-PBE calculation of an optimized crystal structure of Na4Ac3NpO8, from Alexandria via LeMat-Bulk.

Lattice parameters (Å, degrees): 7.4896 7.4896 17.1607 90.00 90.00 120.00
Space group R-3m (No. 166, hexagonal axes)
Inequivalent atoms, fractional coordinates:
1 Na 0.0000 0.0000 0.0000 [3 per cell]
2 Na 0.0000 0.5000 0.0000 [9 per cell]
3 Ac 0.0000 0.5000 0.5000 [9 per cell]
4 Np 0.0000 0.0000 0.5000 [3 per cell]
5 O 0.0000 0.0000 0.2405 [6 per cell]
6 O 0.0233 0.5116 0.2384 [18 per cell]

## Properties
- ΔE_f (raw) (meV per atom) = -2419

The following is a GGA-PBE calculation of an optimized crystal structure of RbGaPb, from Alexandria via LeMat-Bulk.

Lattice parameters (Å, degrees): 4.7679 4.7679 11.8726 90.00 90.00 120.00
Space group P6_3/mmc (No. 194)
Inequivalent atoms, fractional coordinates:
1 Rb 0.0000 0.0000 0.0000 [2 per cell]
2 Ga 0.3333 0.6667 0.2500 [2 per cell]
3 Pb 0.3333 0.6667 0.7500 [2 per cell]

## Properties
- energy of formation (kJ per mole of atoms) = -9.3

The following is a GGA-PBE calculation of an optimized crystal structure of Pm6NdRh4, from Alexandria via LeMat-Bulk.

Lattice parameters (Å, degrees): 7.352 7.352 11.051 90.00 90.00 90.00
Space group I-42m (No. 121)
Inequivalent atoms, fractional coordinates:
1 Pm 0.000 0.500 0.000 [4 per cell]
2 Pm 0.173 0.173 0.284 [8 per cell]
3 Nd 0.000 0.000 0.000 [2 per cell]
4 Rh 0.181 0.181 0.563 [8 per cell]

## Properties
- energy of formation (kJ per mole of atoms) = -45.6

The following is a GGA-PBE calculation of an optimized crystal structure of Rb2YGaTe, from Alexandria via LeMat-Bulk.

Lattice parameters (Å, degrees): 7.773 7.773 5.674 90.00 90.00 90.00
Space group P4/mmm (No. 123)
Inequivalent atoms, fractional coordinates:
1 Rb 0.000 0.500 0.000 [2 per cell]
2 Y 0.000 0.000 0.000 [1 per cell]
3 Ga 0.500 0.500 0.500 [1 per cell]
4 Te 0.000 0.000 0.500 [1 per cell]

## Properties
- ΔE_f (raw) (meV per atom) = 284

The following is a GGA-PBE calculation of an optimized crystal structure of NaHPd2, from Alexandria via LeMat-Bulk.

Lattice parameters (Å, degrees): 2.9312 2.9312 21.7947 90.00 90.00 120.00
Space group R3m (No. 160, hexagonal axes)
Inequivalent atoms, fractional coordinates:
1 Na 0.0000 0.0000 0.0000 [3 per cell]
2 H 0.0000 0.0000 0.1510 [3 per cell]
3 Pd 0.0000 0.0000 0.5556 [3 per cell]
4 Pd 0.0000 0.0000 0.7808 [3 per cell]

## Properties
- uncorrected energy (eV per atom) = -3.818